1.
Density functional theory data (meta-GGA SCAN) for a PBEsol-optimized structure of GaBTe2As.

Values from the calculation:
Formation energy (no corrections) in eV per atom: 0.91
Magnetization in μB/f.u.: 0.00

a = 3.858 Å, b = 5.439 Å, c = 5.439 Å
α = 90.00°, β = 90.00°, γ = 90.00°
Fractional coordinates of all 5 atoms:
B1 0.500 0.000 0.000
As1 0.500 0.500 0.500
Te1 0.000 0.000 0.500
Te2 0.000 0.500 0.000
Ga1 0.000 0.000 0.000

=====

2.
Density functional theory data (meta-GGA SCAN) for a PBEsol-optimized structure of GeB2As.

Values from the calculation:
E_form in kJ/mol of formula units: 85
Magnetization in μB/f.u.: 0.00

a = 4.811 Å, b = 4.811 Å, c = 5.837 Å
α = 114.34°, β = 114.34°, γ = 90.00°
Fractional coordinates of all 8 atoms:
B1 0.625 0.630 0.750
B2 0.880 0.375 0.250
B3 0.370 0.875 0.250
B4 0.125 0.120 0.750
As1 0.000 0.000 0.000
As2 0.250 0.750 0.500
Ge1 0.750 0.250 0.500
Ge2 0.500 0.500 0.000

=====

3.
Density functional theory data (meta-GGA SCAN) for a PBEsol-optimized structure of InBAs2H.

Values from the calculation:
Energy in eV per atom: -15.84
Magnetization in μB/f.u.: 0.00

a = 3.987 Å, b = 3.987 Å, c = 4.705 Å
α = 90.00°, β = 90.00°, γ = 90.00°
Fractional coordinates of all 5 atoms:
As1 0.000 0.500 0.000
As2 0.500 0.000 0.000
B1 0.000 0.000 0.500
H1 0.000 0.000 0.000
In1 0.500 0.500 0.500

=====

4.
Density functional theory data (meta-GGA SCAN) for a PBEsol-optimized structure of BAsHSe2.

Values from the calculation:
Energy in eV per atom: -12.90
Magnetization in μB/f.u.: 0.00

a = 3.540 Å, b = 4.545 Å, c = 4.545 Å
α = 90.00°, β = 90.00°, γ = 90.00°
Fractional coordinates of all 5 atoms:
As1 0.500 0.000 0.000
B1 0.500 0.500 0.500
Se1 0.000 0.500 0.000
Se2 0.000 0.000 0.500
H1 0.000 0.000 0.000

=====

5.
Density functional theory data (meta-GGA SCAN) for a PBEsol-optimized structure of Hg3BAs.

Values from the calculation:
E_form in kJ/mol of formula units: 379
Magnetization in μB/f.u.: 1.45

a = 4.633 Å, b = 4.633 Å, c = 4.633 Å
α = 90.00°, β = 90.00°, γ = 90.00°
Site moments in Bohr magnetons follow the coordinates.
Fractional coordinates of all 5 atoms:
As1 0.500 0.500 0.500  0.57
Hg1 0.500 0.000 0.000  0.05
Hg2 0.000 0.000 0.500  0.05
Hg3 0.000 0.500 0.000  0.05
B1 0.000 0.000 0.000  0.14

=====

6.
Density functional theory data (meta-GGA SCAN) for a PBEsol-optimized structure of HgB3As.

Values from the calculation:
E_form in kJ/mol of formula units: 1123
Magnetization in μB/f.u.: 0.00

a = 4.298 Å, b = 4.298 Å, c = 4.298 Å
α = 90.00°, β = 90.00°, γ = 90.00°
Fractional coordinates of all 5 atoms:
As1 0.500 0.500 0.500
Hg1 0.000 0.000 0.000
B1 0.000 0.000 0.500
B2 0.500 0.000 0.000
B3 0.000 0.500 0.000

=====

7.
Density functional theory data (meta-GGA SCAN) for a PBEsol-optimized structure of HgB3As.

Values from the calculation:
E_form in kJ/mol of formula units: 902
Magnetization in μB/f.u.: 0.00

a = 4.157 Å, b = 4.157 Å, c = 4.157 Å
α = 90.00°, β = 90.00°, γ = 90.00°
Fractional coordinates of all 5 atoms:
B1 0.000 0.000 0.500
B2 0.000 0.500 0.000
B3 0.500 0.000 0.000
Hg1 0.500 0.500 0.500
As1 0.000 0.000 0.000

=====

8.
Density functional theory data (meta-GGA SCAN) for a PBEsol-optimized structure of HgBAs2.

Values from the calculation:
E_form in kJ/mol of formula units: 76
Magnetization in μB/f.u.: 0.00

a = 5.555 Å, b = 6.356 Å, c = 5.555 Å
α = 64.09°, β = 90.00°, γ = 115.91°
Fractional coordinates of all 8 atoms:
As1 0.375 0.250 0.203
As2 0.875 0.250 0.547
As3 0.203 0.750 0.875
As4 0.547 0.750 0.375
Hg1 0.750 0.500 0.750
Hg2 0.000 0.000 0.000
B1 0.500 0.000 0.500
B2 0.250 0.500 0.250

=====

What is the magnetization in the seventh record? 0.00 μB/f.u.

=====

Look up the magnetization of the second one. 0.00 μB/f.u.

=====

What is the formula in the sixth record? HgB3As

=====

Which formula does entry 6 have? HgB3As